A relaxed structure of CoNi4Se. Source: the Alexandria database, functional PBE-GGA.

Computed properties:
Raw formation energy: 2.112 eV/f.u.
Raw total energy: -5.267 eV per atom

Cell lengths 6.709, 6.709, 6.709 Å; angles 90.00, 90.00, 90.00 degrees
Space group F-43m (No. 216)
Asymmetric unit:
1 Co 0.000 0.000 0.000 x4
2 Ni 0.126 0.126 0.374 x16
3 Se 0.250 0.250 0.750 x4